1.
Material: KSr2Al
Method: DFT, PBEsol
State: relaxed

Cell lengths 5.978, 5.978, 5.978 Å; angles 60.00, 60.00, 60.00 degrees
Atoms (fractional coordinates):
Al 0.500 0.500 0.500
Sr 0.000 0.000 0.000
Sr 0.750 0.750 0.750
K 0.250 0.250 0.250

Calculated values
The total moment comes out at 0.0 μB/f.u. As for the space-group type: No. 216.

2.
Material: K2TaAl
Method: DFT, PBEsol
State: relaxed

Cell lengths 3.134, 3.134, 12.553 Å; angles 82.83, 82.83, 60.00 degrees
Atoms (fractional coordinates):
Ta 0.513 0.513 0.460
K 0.763 0.763 0.712
K 0.985 0.985 0.044
Al 0.238 0.238 0.285

Calculated values
The total moment comes out at 0.1 μB/f.u. As for the space-group type: No. 160.

3.
Material: K2TaAl
Method: DFT, PBEsol
State: relaxed

Cell lengths 3.272, 4.219, 10.588 Å; angles 101.24, 98.89, 90.00 degrees
Each line ends with the local moment (μB).
Atoms (fractional coordinates):
K 0.149 0.144 0.298  0.01
K 0.851 0.856 0.702  0.01
Ta 0.000 0.500 0.000  0.76
Al 0.500 0.000 0.000  -0.01

Calculated values
The total moment comes out at 1.4 μB/f.u. As for the space-group type: No. 12.

4.
Material: K2TaAl
Method: DFT, PBEsol
State: relaxed

Cell lengths 4.071, 4.071, 6.650 Å; angles 107.83, 107.83, 90.00 degrees
Atoms (fractional coordinates):
Al 0.000 0.000 0.000
K 0.750 0.250 0.500
K 0.250 0.750 0.500
Ta 0.500 0.500 0.000

Calculated values
The total moment comes out at 0.0 μB/f.u. As for the space-group type: No. 139.

Asked for uncorrected energy across the records above, the calculation gives -1.98; -3.93; -4.00; -3.64 eV per atom in order.